Below is crystalline PmGa12Au6 at its relaxed geometry, with properties calculated at the PBE level.

Cell lengths 7.521, 7.521, 7.521 Å; angles 104.99, 104.99, 104.99 degrees
Element x y z (fractional)
Pm: 0.000 0.000 0.000
Ga: 0.108 0.500 0.892
Ga: 0.108 0.892 0.500
Ga: 0.143 0.386 0.386
Ga: 0.386 0.143 0.386
Ga: 0.386 0.386 0.143
Ga: 0.500 0.108 0.892
Ga: 0.500 0.892 0.108
Ga: 0.614 0.614 0.857
Ga: 0.614 0.857 0.614
Ga: 0.857 0.614 0.614
Ga: 0.892 0.108 0.500
Ga: 0.892 0.500 0.108
Au: 0.276 0.713 0.713
Au: 0.287 0.287 0.724
Au: 0.287 0.724 0.287
Au: 0.713 0.276 0.713
Au: 0.713 0.713 0.276
Au: 0.724 0.287 0.287

Results
Energy relative to the elements (eV/f.u.): -3.432
Magnetization (μB per formula unit): 0.000

=====

Below is crystalline PmGa4Au6 at its relaxed geometry, with properties calculated at the PBE level.

Cell lengths 7.257, 7.257, 5.026 Å; angles 90.00, 90.00, 120.00 degrees
Element x y z (fractional)
Pm: 0.000 0.000 0.000
Ga: 0.017 0.598 0.500
Ga: 0.402 0.419 0.500
Ga: 0.581 0.983 0.500
Ga: 0.667 0.333 0.000
Au: 0.073 0.484 0.000
Au: 0.247 0.011 0.500
Au: 0.411 0.927 0.000
Au: 0.516 0.589 0.000
Au: 0.764 0.753 0.500
Au: 0.989 0.236 0.500

Results
Energy relative to the elements (eV/f.u.): -3.712
Distance to the lowest polymorph of the same formula (eV per atom): 0.000
Magnetization (μB per formula unit): 0.000

=====

Below is crystalline Pm2Ga2Au at its relaxed geometry, with properties calculated at the PBE level.

Cell lengths 5.889, 5.889, 10.945 Å; angles 115.95, 115.95, 45.13 degrees
Element x y z (fractional)
Pm: 0.016 0.016 0.329
Pm: 0.188 0.188 0.112
Pm: 0.812 0.812 0.888
Pm: 0.984 0.984 0.671
Ga: 0.364 0.364 0.444
Ga: 0.473 0.473 0.106
Ga: 0.527 0.527 0.894
Ga: 0.636 0.636 0.556
Au: 0.272 0.272 0.659
Au: 0.728 0.728 0.341

Results
Energy relative to the elements (eV/f.u.): -3.552
Magnetization (μB per formula unit): 0.000

=====

Below is crystalline Pm2Ga4Au9 at its relaxed geometry, with properties calculated at the PBE level.

Cell lengths 4.522, 4.522, 17.185 Å; angles 90.00, 90.00, 120.00 degrees
Element x y z (fractional)
Pm: 0.333 0.667 0.261
Pm: 0.667 0.333 0.739
Ga: 0.333 0.667 0.608
Ga: 0.333 0.667 0.873
Ga: 0.667 0.333 0.127
Ga: 0.667 0.333 0.392
Au: 0.000 0.000 0.000
Au: 0.000 0.000 0.169
Au: 0.000 0.000 0.362
Au: 0.000 0.000 0.638
Au: 0.000 0.000 0.831
Au: 0.333 0.667 0.068
Au: 0.333 0.667 0.453
Au: 0.667 0.333 0.547
Au: 0.667 0.333 0.932

Results
Energy relative to the elements (eV/f.u.): -6.075
Magnetization (μB per formula unit): 0.000

=====

Below is crystalline Pm2Ga3Au4 at its relaxed geometry, with properties calculated at the PBE level.

Cell lengths 8.417, 8.417, 7.843 Å; angles 90.00, 90.00, 138.11 degrees
Element x y z (fractional)
Pm: 0.111 0.889 0.907
Pm: 0.389 0.611 0.407
Pm: 0.611 0.389 0.593
Pm: 0.889 0.111 0.093
Ga: 0.000 0.000 0.500
Ga: 0.021 0.479 0.750
Ga: 0.479 0.021 0.250
Ga: 0.500 0.500 0.000
Ga: 0.521 0.979 0.750
Ga: 0.979 0.521 0.250
Au: 0.179 0.821 0.525
Au: 0.194 0.306 0.750
Au: 0.306 0.194 0.250
Au: 0.321 0.679 0.025
Au: 0.679 0.321 0.975
Au: 0.694 0.806 0.750
Au: 0.806 0.694 0.250
Au: 0.821 0.179 0.475

Results
Energy relative to the elements (eV/f.u.): -5.470
Magnetization (μB per formula unit): 0.000

=====

Below is crystalline PmGaAu3 at its relaxed geometry, with properties calculated at the PBE level.

Cell lengths 12.447, 12.447, 4.064 Å; angles 90.00, 90.00, 159.50 degrees
Element x y z (fractional)
Pm: 0.167 0.833 0.000
Pm: 0.833 0.167 0.000
Ga: 0.384 0.616 0.500
Ga: 0.616 0.384 0.500
Au: 0.058 0.942 0.500
Au: 0.282 0.718 0.500
Au: 0.444 0.556 0.000
Au: 0.556 0.444 0.000
Au: 0.718 0.282 0.500
Au: 0.942 0.058 0.500

Results
Energy relative to the elements (eV/f.u.): -2.388
Distance to the lowest polymorph of the same formula (eV per atom): 0.068
Magnetization (μB per formula unit): 0.000

=====

> energy relative to the elements of number 2 (PmGa4Au6)?

-3.712 eV/f.u.

=====

> Number 3 is which compound?

Pm2Ga2Au